{
  "formula": "SrMg3V4O12",
  "functional": "PBE with a Hubbard U",
  "state": "relaxed",
  "lattice_angstrom": [[5.635, 3.253, 2.318], [-5.635, 3.253, 2.318], [0.000, -6.507, 2.318]],
  "species": ["Sr", "Mg", "Mg", "Mg", "V", "V", "V", "V", "O", "O", "O", "O", "O", "O", "O", "O", "O", "O", "O", "O"],
  "fractional_positions": [[0.000, 0.000, 0.000], [0.000, 0.563, 0.437], [0.437, 0.000, 0.563], [0.563, 0.437, 0.000], [0.063, 0.500, 0.937], [0.500, 0.500, 0.500], [0.500, 0.937, 0.063], [0.937, 0.063, 0.500], [0.091, 0.909, 0.500], [0.104, 0.671, 0.784], [0.216, 0.329, 0.896], [0.329, 0.896, 0.216], [0.347, 0.653, 0.500], [0.500, 0.091, 0.909], [0.500, 0.347, 0.653], [0.653, 0.500, 0.347], [0.671, 0.784, 0.104], [0.784, 0.104, 0.671], [0.896, 0.216, 0.329], [0.909, 0.500, 0.091]],
  "final_energy_ev_per_cell": -138.237,
  "crystal_system": "trigonal",
  "total_magnetization_mub_per_fu": 4.00
}